Entry 1:
This record from the Alexandria database describes a crystal of Zn2FeRe relaxed with PBEsol. The functional is SCAN.

**ΔE_f**: 0.07 eV/atom
**Energy relative to the lowest polymorph listed for this composition**: 0.000 eV/atom
**SG**: P4mm (99)

abc: 2.750 2.750 6.749
angles: 90.00 90.00 90.00
Last column: magnetic moment on the atom in μB.
Fractional positions:
Zn: 0.500 0.500 0.267  -0.04
Zn: 0.000 0.000 0.006  0.00
Re: 0.500 0.500 0.725  -0.23
Fe: 0.000 0.000 0.502  1.81

Entry 2:
This record from the Alexandria database describes a crystal of LiScCu2 relaxed with PBEsol. The functional is SCAN.

**ΔE_f**: -0.13 eV/atom
**SG**: P4/mmm (123)

abc: 3.116 3.116 5.941
angles: 90.00 90.00 90.00
Fractional positions:
Sc: 0.500 0.500 0.500
Cu: 0.000 0.000 0.221
Cu: 0.000 0.000 0.779
Li: 0.500 0.500 0.000

Number 1: size of the total moment 1.52 μB per cell. Number 2: size of the total moment 0.00 μB per cell.